5
Lattice="-0.121 -0.307 -3.741 3.138 -4.295 0.251 -3.032 -2.199 0.278" Properties=species:S:1:pos:R:3 comment="InFeCoO2 PBE+U optimized geometry" spacegroup="P4/mmm, No. 123" dft_energy_ev_per_atom=-4.534 total_magnetization_mub_per_cell=6.40 crystal_system=tetragonal vol_a3_per_cell=75 rho_g_cm3=5.78 pbc="T T T"
Co 0.000 0.000 0.000
In 1.569 -2.148 0.125
Fe -0.007 -3.401 -1.606
O -0.060 -0.153 -1.871
O -1.516 -1.100 0.139